! PBE PtPbS2N, optimized geometry; values from VASP
&SYSTEM
  ibrav = 0, nat = 5, ntyp = 4
/
ATOMIC_SPECIES
N 14.01 N.upf
S 32.06 S.upf
Pt 195.08 Pt.upf
Pb 207.20 Pb.upf
CELL_PARAMETERS angstrom
5.2046 0.0000 0.0000
0.0000 5.2046 0.0000
0.0000 0.0000 4.0965
ATOMIC_POSITIONS angstrom
N 0.0000 0.0000 2.0482
S 2.6023 0.0000 0.0000
S 0.0000 2.6023 0.0000
Pt 2.6023 2.6023 2.0482
Pb 0.0000 0.0000 0.0000
! E above lowest polymorph (eV per formula unit): 6.98
! Raw formation energy (meV per atom): 1740
! Uncorrected energy (eV per atom): -3.53